VASP calculation (PBE-GGA) on crystalline LuCuS2 at its relaxed geometry.

The structure in CIF format:
```
data_LuCuS2
_symmetry_space_group_name_H-M 'P 1'
_symmetry_Int_Tables_number 1
_cell_length_a 3.9934
_cell_length_b 3.9934
_cell_length_c 21.1507
_cell_angle_alpha 90.00
_cell_angle_beta 90.00
_cell_angle_gamma 120.00
loop_
_symmetry_equiv_pos_as_xyz
'x,y,z'
loop_
_atom_site_label
_atom_site_type_symbol
_atom_site_fract_x
_atom_site_fract_y
_atom_site_fract_z
_atom_site_occupancy
Lu1 Lu 0.0000 0.0000 0.0000 1
Lu2 Lu 0.3333 0.6667 0.6667 1
Lu3 Lu 0.6667 0.3333 0.3333 1
Cu1 Cu 0.0000 0.0000 0.5000 1
Cu2 Cu 0.3333 0.6667 0.1667 1
Cu3 Cu 0.6667 0.3333 0.8333 1
S1 S 0.0000 0.0000 0.3990 1
S2 S 0.0000 0.0000 0.6010 1
S3 S 0.3333 0.6667 0.0657 1
S4 S 0.3333 0.6667 0.2676 1
S5 S 0.6667 0.3333 0.7324 1
S6 S 0.6667 0.3333 0.9343 1
```

**M_tot**: 0.0000 μB/atom
**Space group**: R-3m, No. 166
**Uncorrected energy**: -5.5289 eV per atom